[1]
A plane-wave DFT calculation with PBE was carried out for a relaxed structure of Ta3MnRh.

POSCAR file:
```
Ta3MnRh
1.0
4.528 0.000 0.000
0.000 4.528 0.000
0.000 0.000 4.528
Ta Mn Rh
3 1 1
Cartesian
0.000 0.000 2.264
0.000 2.264 0.000
2.264 0.000 0.000
0.000 0.000 0.000
2.264 2.264 2.264
```

## Properties
DFT formation energy   0.785 eV/atom

[2]
A plane-wave DFT calculation with PBE was carried out for a relaxed structure of Pr2HoScTl2.

POSCAR file:
```
Pr2HoScTl2
1.0
5.013 0.000 0.000
0.000 10.055 0.000
0.000 0.000 6.971
Pr Ho Sc Tl
4 2 2 4
Cartesian
0.000 0.487 0.000
0.000 9.568 3.486
2.506 1.895 1.900
2.506 8.160 5.386
2.506 4.585 6.257
2.506 5.470 2.772
0.000 3.147 4.224
0.000 6.908 0.738
0.000 3.916 1.177
0.000 6.139 4.662
2.506 1.545 5.122
2.506 8.510 1.636
```

## Properties
DFT formation energy   -0.252 eV/atom

[3]
A plane-wave DFT calculation with PBE was carried out for a relaxed structure of Pm2NdDy4Tm.

POSCAR file:
```
Pm2NdDy4Tm
1.0
6.826 -6.636 0.000
6.826 6.636 0.000
-3.402 0.000 5.907
Pm Nd Dy Tm
4 2 8 2
Cartesian
0.000 0.000 0.000
-1.701 0.000 2.953
3.413 3.318 0.000
1.712 -3.318 2.953
1.712 3.318 2.953
3.413 -3.318 0.000
3.455 0.002 0.035
1.754 -0.002 2.988
6.824 3.249 0.000
5.127 3.249 2.953
3.426 -3.249 5.906
5.123 -3.249 2.954
8.496 0.002 2.919
6.795 -0.002 5.872
6.826 0.000 0.000
5.125 0.000 2.953
```

## Properties
DFT formation energy   0.417 eV/atom

[4]
A plane-wave DFT calculation with PBE was carried out for a relaxed structure of KPrNb2O6.

POSCAR file:
```
KPrNb2O6
1.0
0.000 4.071 4.071
4.071 0.000 4.071
4.071 4.071 0.000
K Pr Nb O
1 1 2 6
Cartesian
0.000 0.000 0.000
4.071 4.071 4.071
2.036 2.036 2.036
6.107 6.107 6.107
2.036 2.036 0.000
2.036 0.000 2.036
4.071 2.036 2.036
0.000 2.036 2.036
2.036 4.071 2.036
2.036 2.036 4.071
```

## Properties
E_form (uncorrected)   -2.5694 eV/atom

[5]
A plane-wave DFT calculation with PBE was carried out for a relaxed structure of Ni2AgBi.

POSCAR file:
```
Ni2AgBi
1.0
-3.553 3.553 2.808
3.553 -3.553 2.808
3.553 3.553 -2.808
Ni Ag Bi
4 2 2
Cartesian
5.330 1.764 -0.702
1.764 1.777 0.702
-1.777 1.789 2.106
1.789 1.777 3.510
3.553 0.000 1.404
0.000 0.000 2.808
0.000 0.000 0.000
0.000 3.553 1.404
```

## Properties
DFT formation energy   0.433 eV/atom

[6]
A plane-wave DFT calculation with PBE was carried out for a relaxed structure of TaIn2As.

POSCAR file:
```
TaIn2As
1.0
3.092 0.000 0.000
0.000 4.920 0.000
-0.004 0.000 5.482
Ta In As
1 2 1
Cartesian
0.000 0.000 0.000
1.536 2.460 4.123
1.552 2.460 1.359
-0.002 0.000 2.741
```

## Properties
DFT formation energy   0.334 eV/atom

The evaluated size of the total moment for the records listed, in turn: 0.00, 0.00, 4.14, 0.00, 0.00, 0.00 μB/cell.